Density functional theory data (PBE+U) for crystalline CoPdNO at its relaxed geometry.

For the spin magnetization, the calculation gives 4.3 μB per cell. For the total energy, the calculation gives -5.7478 eV/atom. The energy above the most stable polymorph in this dataset comes out at 0.00 eV per formula unit. The value obtained for the mass density is 6.87 Mg/m³.

The structure belongs to space group Pmc2_1 (No. 26); the cell edges are 3.100, 5.976 and 5.098 Å and the angles 90.00°, 90.00° and 90.00°. The distinct sites, in fractional coordinates, are Co at (0.000, 0.146, 0.000), Pd at (0.500, 0.406, 0.507), N at (0.500, 0.285, 0.873) and O at (0.000, 0.145, 0.373).